Entry from Alexandria: a relaxed Nd2MgPt crystal (GGA-PBE).

abc: 7.433 7.433 7.433
angles: 90.00 90.00 90.00
Space group Fm-3m (No. 225)
Asymmetric unit:
Nd (0.250, 0.250, 0.250)
Mg (0.000, 0.000, 0.000)
Pt (0.000, 0.000, 0.500)

- Energy relative to the lowest polymorph listed for this composition: 92 meV/atom
- Calculated formation energy: -1.94 eV/f.u.
- Total magnetic moment: 0.0 μB/f.u.


Entry from Alexandria: a relaxed Nd2MgPt crystal (GGA-PBE).

abc: 4.1716 4.1716 30.2037
angles: 90.00 90.00 120.00
Space group R-3m (No. 166, hexagonal axes)
Asymmetric unit:
Nd (0.0000, 0.0000, 0.1153)
Mg (0.0000, 0.0000, 0.0000)
Pt (0.0000, 0.0000, 0.5000)

- Energy relative to the lowest polymorph listed for this composition: 311 meV/atom
- Calculated formation energy: -1.07 eV/f.u.
- Total magnetic moment: 0.0 μB/f.u.


Entry from Alexandria: a relaxed NdMg11Pt crystal (GGA-PBE).

abc: 5.627 14.433 7.675
angles: 90.00 110.33 90.00
Space group C2/m (No. 12)
Asymmetric unit:
Nd (0.000, 0.000, 0.000)
Mg (0.000, 0.000, 0.500)
Mg (0.097, 0.398, 0.220)
Mg (0.192, 0.168, 0.362)
Mg (0.250, 0.250, 0.000)
Pt (0.000, 0.500, 0.500)

- Calculated formation energy: -2.73 eV/f.u.
- Total magnetic moment: 0.0 μB/f.u.


Entry from Alexandria: a relaxed Nd3Mg7Pt4 crystal (GGA-PBE).

abc: 16.303 4.327 10.527
angles: 90.00 124.05 90.00
Space group C2/m (No. 12)
Asymmetric unit:
Nd (0.000, 0.000, 0.000)
Nd (0.195, 0.500, 0.712)
Mg (0.000, 0.000, 0.500)
Mg (0.013, 0.500, 0.295)
Mg (0.169, 0.000, 0.430)
Mg (0.180, 0.500, 0.014)
Pt (0.110, 0.000, 0.821)
Pt (0.164, 0.500, 0.260)

- Calculated formation energy: -10.06 eV/f.u.
- Total magnetic moment: 0.0 μB/f.u.


Entry from Alexandria: a relaxed NdMgPt crystal (GGA-PBE).

abc: 3.517 3.517 11.206
angles: 90.00 90.00 90.00
Space group I4mm (No. 107)
Asymmetric unit:
Nd (0.000, 0.000, 0.000)
Mg (0.000, 0.000, 0.721)
Pt (0.000, 0.000, 0.343)

- Calculated formation energy: -2.01 eV/f.u.
- Total magnetic moment: 0.0 μB/f.u.


Entry from Alexandria: a relaxed NdMgPt crystal (GGA-PBE).

abc: 6.789 6.789 6.789
angles: 90.00 90.00 90.00
Space group F-43m (No. 216)
Asymmetric unit:
Nd (0.000, 0.000, 0.000)
Mg (0.000, 0.000, 0.500)
Pt (0.250, 0.250, 0.750)

- Calculated formation energy: -2.26 eV/f.u.
- Total magnetic moment: 0.0 μB/f.u.


Repeat the second record exactly.
Entry from Alexandria: a relaxed Nd2MgPt crystal (GGA-PBE).

abc: 4.1716 4.1716 30.2037
angles: 90.00 90.00 120.00
Space group R-3m (No. 166, hexagonal axes)
Asymmetric unit:
Nd (0.0000, 0.0000, 0.1153)
Mg (0.0000, 0.0000, 0.0000)
Pt (0.0000, 0.0000, 0.5000)

- Energy relative to the lowest polymorph listed for this composition: 311 meV/atom
- Calculated formation energy: -1.07 eV/f.u.
- Total magnetic moment: 0.0 μB/f.u.


- What is the total magnetic moment in the second record?
  0.0 μB/f.u.


- Look up the calculated formation energy of the second one.
  -1.07 eV/f.u.